No. 1
A geometry-optimized Ta2TlFe structure. Source: Alexandria, functional PBEsol.

Properties
- Electronic total energy: -8.857 eV/atom
- Energy of formation from the pure elements: 0.32 eV/atom

a = 2.9402 Å, b = 3.8346 Å, c = 5.9919 Å
α = 90.00°, β = 96.47°, γ = 90.00°
Closest atoms and distances in Å follow each position.
Sites, in units of the cell vectors:
Fe  0.5000  0.5000  0.5000  4 Ta 2.55
Ta  0.9310  0.0000  0.7113  2 Fe 2.55, 1 Ta 2.61
Ta  0.0690  0.0000  0.2887  2 Fe 2.55, 1 Ta 2.61
Tl  0.5000  0.5000  0.0000  2 Tl 2.94, 8 Ta 2.96-2.97, 2 Fe 3.00



No. 2
A geometry-optimized Ta2TlFe structure. Source: Alexandria, functional PBEsol.

Properties
- Electronic total energy: -8.746 eV/atom
- Energy of formation from the pure elements: 0.43 eV/atom

a = 3.0125 Å, b = 3.0125 Å, c = 8.9608 Å
α = 80.32°, β = 80.32°, γ = 60.00°
Closest atoms and distances in Å follow each position.
Sites, in units of the cell vectors:
Fe  0.0000  0.0000  0.0000  6 Ta 2.56
Ta  0.2622  0.2622  0.2133  3 Fe 2.56
Ta  0.7378  0.7378  0.7867  3 Fe 2.56
Tl  0.5000  0.5000  0.5000  6 Tl 3.01, 6 Ta 3.06



No. 3
A geometry-optimized Ta2TlFe structure. Source: Alexandria, functional PBEsol.

Properties
- Electronic total energy: -8.631 eV/atom
- Energy of formation from the pure elements: 0.54 eV/atom

a = 4.5787 Å, b = 4.5787 Å, c = 4.5787 Å
α = 60.00°, β = 60.00°, γ = 60.00°
Closest atoms and distances in Å follow each position.
Sites, in units of the cell vectors:
Tl  0.5000  0.5000  0.5000  8 Ta 2.80
Fe  0.0000  0.0000  0.0000  8 Ta 2.80
Ta  0.2500  0.2500  0.2500  4 Tl 2.80, 4 Fe 2.80
Ta  0.7500  0.7500  0.7500  4 Fe 2.80, 4 Tl 2.80



No. 4
A geometry-optimized Ta2TlFe structure. Source: Alexandria, functional PBEsol.

Properties
- Electronic total energy: -8.827 eV/atom
- Energy of formation from the pure elements: 0.35 eV/atom

a = 3.7055 Å, b = 4.1531 Å, c = 4.3345 Å
α = 90.00°, β = 90.00°, γ = 90.00°
Closest atoms and distances in Å follow each position.
Sites, in units of the cell vectors:
Fe  0.0000  0.5000  0.5000  4 Tl 2.78, 8 Ta 2.85-3.00
Ta  0.0000  0.0000  0.0000  4 Ta 2.78, 4 Tl 2.85, 4 Fe 3.00
Ta  0.5000  0.5000  0.0000  4 Ta 2.78, 4 Fe 2.85, 4 Tl 3.00
Tl  0.5000  0.0000  0.5000  4 Fe 2.78, 8 Ta 2.85-3.00



Listing M_tot for the structures above in their given order: 0.73 1.15 2.19 1.71 μB per cell.